# 1
The following is a DFT calculation (GGA-PBEsol) of crystalline MoPt2Se at its relaxed geometry.

Summary:
DFT total energy: -0.2630 Ha/atom
energy relative to the elements, uncorrected: 229 meV per atom

abc: 3.834 3.834 8.426
angles: 90.00 90.00 90.00
Space group I4/mmm (No. 139)
Inequivalent atoms, fractional coordinates:
1 Mo 0.000 0.000 0.000
2 Pt 0.000 0.500 0.250
3 Se 0.000 0.000 0.500



# 2
The following is a DFT calculation (GGA-PBEsol) of crystalline ScAsSe2 at its relaxed geometry.

Summary:
DFT total energy: -0.2007 Ha/atom
energy relative to the elements, uncorrected: -608 meV per atom

abc: 4.706 4.706 3.428
angles: 90.00 90.00 90.00
Space group P4/mmm (No. 123)
Inequivalent atoms, fractional coordinates:
1 Sc 0.000 0.000 0.000
2 As 0.500 0.500 0.000
3 Se 0.000 0.500 0.500



# 3
The following is a DFT calculation (GGA-PBEsol) of crystalline NiPbCl2 at its relaxed geometry.

Summary:
DFT total energy: -0.1303 Ha/atom
energy relative to the elements, uncorrected: -4 meV per atom
energy above the most stable polymorph in this dataset: 0.371 eV per atom

abc: 6.061 7.775 4.810
angles: 90.00 128.62 90.00
Space group C2/m (No. 12)
Inequivalent atoms, fractional coordinates:
1 Ni 0.000 0.000 0.000
2 Pb 0.000 0.500 0.000
3 Cl 0.250 0.250 0.500



# 4
The following is a DFT calculation (GGA-PBEsol) of crystalline Er5Ge10Rh4 at its relaxed geometry.

Summary:
DFT total energy: -0.2375 Ha/atom
ΔE_f: -1564.1 kJ/mol of formula units

abc: 12.815 12.815 4.220
angles: 90.00 90.00 90.00
Space group P4/mbm (No. 127)
Inequivalent atoms, fractional coordinates:
1 Er 0.000 0.000 0.000
2 Er 0.113 0.387 0.500
3 Er 0.174 0.674 0.500
4 Ge 0.003 0.843 0.500
5 Ge 0.067 0.567 0.000
6 Ge 0.162 0.199 0.000
7 Rh 0.021 0.754 0.000



# 5
The following is a DFT calculation (GGA-PBEsol) of crystalline MgAu2 at its relaxed geometry.

Summary:
DFT total energy: -0.1327 Ha/atom
ΔE_f: -122.4 kJ/mol of formula units

abc: 9.395 4.001 5.804
angles: 90.00 110.17 90.00
Space group C2/m (No. 12)
Inequivalent atoms, fractional coordinates:
1 Mg 0.167 0.000 0.106
2 Au 0.011 0.500 0.762
3 Au 0.170 0.000 0.594



# 6
The following is a DFT calculation (GGA-PBEsol) of crystalline MgReAu2Cl at its relaxed geometry.

Summary:
DFT total energy: -0.1245 Ha/atom
energy relative to the elements, uncorrected: 1593 meV per atom

abc: 4.784 4.784 5.043
angles: 90.00 90.00 90.00
Space group P4/mmm (No. 123)
Inequivalent atoms, fractional coordinates:
1 Mg 0.000 0.000 0.000
2 Re 0.000 0.000 0.500
3 Au 0.000 0.500 0.000
4 Cl 0.500 0.500 0.500



# 7
The following is a DFT calculation (GGA-PBEsol) of crystalline MnFeSiHg2 at its relaxed geometry.

Summary:
DFT total energy: -0.1452 Ha/atom
energy relative to the elements, uncorrected: 1170 meV per atom

abc: 4.990 4.990 3.966
angles: 90.00 90.00 90.00
Space group P4/mmm (No. 123)
Inequivalent atoms, fractional coordinates:
1 Mn 0.000 0.000 0.000
2 Fe 0.000 0.000 0.500
3 Si 0.500 0.500 0.500
4 Hg 0.000 0.500 0.000



# 8
The following is a DFT calculation (GGA-PBEsol) of crystalline Tc2C at its relaxed geometry.

Summary:
DFT total energy: -0.3915 Ha/atom
energy above the most stable polymorph in this dataset: 0.093 eV per atom
ΔE_f: 20.7 kJ/mol of formula units

abc: 2.764 9.487 4.983
angles: 90.00 90.00 90.00
Space group Cmc2_1 (No. 36)
Inequivalent atoms, fractional coordinates:
1 Tc 0.000 0.031 0.000
2 Tc 0.000 0.286 0.818
3 C 0.000 0.385 0.212



Q: Look up the DFT total energy of the third one.
A: -0.1303 Ha/atom



Repeat the third record exactly.
The following is a DFT calculation (GGA-PBEsol) of crystalline NiPbCl2 at its relaxed geometry.

Summary:
DFT total energy: -0.1303 Ha/atom
energy relative to the elements, uncorrected: -4 meV per atom
energy above the most stable polymorph in this dataset: 0.371 eV per atom

abc: 6.061 7.775 4.810
angles: 90.00 128.62 90.00
Space group C2/m (No. 12)
Inequivalent atoms, fractional coordinates:
1 Ni 0.000 0.000 0.000
2 Pb 0.000 0.500 0.000
3 Cl 0.250 0.250 0.500



Q: Which of these has the lowest DFT total energy?
A: Tc2C